Entry 1:
This record from Alexandria via LeMat-Bulk describes crystalline SmTmRuRh at its relaxed geometry. The functional is PBE.

Unit cell a=6.8524 b=6.8524 c=6.8524 alpha=90.00 beta=90.00 gamma=90.00
Space group F-43m (No. 216)
Inequivalent atoms, fractional coordinates:
Sm1 0.0000 0.0000 0.0000 (multiplicity 4)
Tm1 0.0000 0.0000 0.5000 (multiplicity 4)
Ru1 0.2500 0.2500 0.7500 (multiplicity 4)
Rh1 0.2500 0.2500 0.2500 (multiplicity 4)

Properties
**Formation energy**: -0.575 eV per atom
**Uncorrected energy**: -112.47 eV per cell
**Total magnetization**: 0.00 μB/f.u.
**V**: 322 Å³/cell
**Fermi-level density of states**: 9.55 states/eV/cell

Entry 2:
This record from Alexandria via LeMat-Bulk describes crystalline SmURuRh at its relaxed geometry. The functional is PBE.

Unit cell a=6.8732 b=6.8732 c=6.8732 alpha=90.00 beta=90.00 gamma=90.00
Space group F-43m (No. 216)
Inequivalent atoms, fractional coordinates:
Sm1 0.0000 0.0000 0.0000 (multiplicity 4)
U1 0.0000 0.0000 0.5000 (multiplicity 4)
Ru1 0.2500 0.2500 0.7500 (multiplicity 4)
Rh1 0.2500 0.2500 0.2500 (multiplicity 4)

Properties
**Formation energy**: -0.287 eV per atom
**Uncorrected energy**: -135.13 eV per cell
**Total magnetization**: 1.92 μB/f.u.
**V**: 325 Å³/cell
**Fermi-level density of states**: 30.17 states/eV/cell